DFT (PBE+U) results for a relaxed structure of CrIn2F4.

Cell: 5.148 3.288 8.704 Å, 90.00 103.12 90.00°
Atoms (fractional coordinates):
Cr: 0.000 0.000 0.000
In: 0.344 0.500 0.665
In: 0.656 0.500 0.335
F: 0.131 0.500 0.887
F: 0.382 0.000 0.195
F: 0.618 0.000 0.805
F: 0.869 0.500 0.113

Computed properties:
energy	-4.935	eV/atom
DOS at the Fermi energy	0.0234	states/eV/atom
size of the total moment	4.0	μB/f.u.
SG	P2/m
distance to the lowest polymorph of the same formula	0.000	eV per atom